1.
A plane-wave DFT calculation with PBE-GGA was carried out for a relaxed structure of NdSc2.

a b c (Å): 3.8009 3.8009 11.6358
angles (deg): 90.00 90.00 90.00
Positions (direct):
Nd: 0.0000 0.0000 0.0000
Nd: 0.5000 0.5000 0.5000
Sc: 0.0000 0.0000 0.3203
Sc: 0.0000 0.0000 0.6797
Sc: 0.5000 0.5000 0.1797
Sc: 0.5000 0.5000 0.8203

Summary:
Its total magnetization is 0.00 μB/cell. As for the energy: -5.724 eV/atom. Its mass density is 4.6 g/cm3. As for the energy of formation from the pure elements: 0.26 eV per formula unit. Its volume is 168 Å³/cell.



2.
A plane-wave DFT calculation with PBE-GGA was carried out for a relaxed structure of Nd2Sc.

a b c (Å): 4.0834 4.0834 11.3383
angles (deg): 90.00 90.00 90.00
Positions (direct):
Nd: 0.0000 0.0000 0.1548
Nd: 0.0000 0.0000 0.8452
Nd: 0.5000 0.5000 0.3452
Nd: 0.5000 0.5000 0.6548
Sc: 0.0000 0.0000 0.5000
Sc: 0.5000 0.5000 0.0000

Summary:
Its total magnetization is 0.00 μB/cell. As for the energy: -5.187 eV/atom. Its mass density is 5.9 g/cm3. As for the energy of formation from the pure elements: 0.31 eV per formula unit. Its volume is 189 Å³/cell.



3.
A plane-wave DFT calculation with PBE-GGA was carried out for a relaxed structure of Nd3Sc.

a b c (Å): 8.0381 8.0381 8.0381
angles (deg): 90.00 90.00 90.00
Positions (direct):
Nd: 0.0000 0.0000 0.0000
Nd: 0.0000 0.5000 0.5000
Nd: 0.2500 0.2500 0.2500
Nd: 0.2500 0.2500 0.7500
Nd: 0.2500 0.7500 0.2500
Nd: 0.2500 0.7500 0.7500
Nd: 0.5000 0.0000 0.5000
Nd: 0.5000 0.5000 0.0000
Nd: 0.7500 0.2500 0.2500
Nd: 0.7500 0.2500 0.7500
Nd: 0.7500 0.7500 0.2500
Nd: 0.7500 0.7500 0.7500
Sc: 0.0000 0.0000 0.5000
Sc: 0.0000 0.5000 0.0000
Sc: 0.5000 0.0000 0.0000
Sc: 0.5000 0.5000 0.5000

Summary:
Its total magnetization is 0.01 μB/cell. As for the energy: -5.022 eV/atom. Its mass density is 6.1 g/cm3. As for the energy of formation from the pure elements: 0.55 eV per formula unit. Its volume is 519 Å³/cell.



4.
A plane-wave DFT calculation with PBE-GGA was carried out for a relaxed structure of Nd5Sc.

a b c (Å): 5.1064 10.8235 7.2182
angles (deg): 90.00 90.00 90.00
Positions (direct):
Nd: 0.2500 0.0835 0.1210
Nd: 0.2500 0.0872 0.6299
Nd: 0.2500 0.4128 0.6299
Nd: 0.2500 0.4165 0.1210
Nd: 0.2500 0.7500 0.6277
Nd: 0.7500 0.2500 0.3723
Nd: 0.7500 0.5835 0.8790
Nd: 0.7500 0.5872 0.3701
Nd: 0.7500 0.9128 0.3701
Nd: 0.7500 0.9165 0.8790
Sc: 0.2500 0.7500 0.1214
Sc: 0.7500 0.2500 0.8786

Summary:
Its total magnetization is 0.00 μB/cell. As for the energy: -4.994 eV/atom. Its mass density is 6.4 g/cm3. As for the energy of formation from the pure elements: 0.21 eV per formula unit. Its volume is 399 Å³/cell.



5.
A plane-wave DFT calculation with PBE-GGA was carried out for a relaxed structure of Nd6Sc.

a b c (Å): 6.5285 6.5285 11.4474
angles (deg): 90.00 90.00 90.00
Positions (direct):
Nd: 0.0807 0.5807 0.1395
Nd: 0.0807 0.9193 0.8605
Nd: 0.2500 0.2500 0.3658
Nd: 0.2500 0.2500 0.6342
Nd: 0.4193 0.5807 0.8605
Nd: 0.4193 0.9193 0.1395
Nd: 0.5807 0.0807 0.8605
Nd: 0.5807 0.4193 0.1395
Nd: 0.7500 0.7500 0.3658
Nd: 0.7500 0.7500 0.6342
Nd: 0.9193 0.0807 0.1395
Nd: 0.9193 0.4193 0.8605
Sc: 0.2500 0.7500 0.5000
Sc: 0.7500 0.2500 0.5000

Summary:
Its total magnetization is 0.00 μB/cell. As for the energy: -4.701 eV/atom. Its mass density is 6.2 g/cm3. As for the energy of formation from the pure elements: 2.03 eV per formula unit. Its volume is 488 Å³/cell.



6.
A plane-wave DFT calculation with PBE-GGA was carried out for a relaxed structure of NdSc2.

a b c (Å): 7.9233 7.9233 7.9233
angles (deg): 120.10 120.10 89.83
Positions (direct):
Nd: 0.2143 0.0000 0.2143
Nd: 0.7500 0.0357 0.2857
Nd: 0.7500 0.4643 0.7143
Nd: 0.7857 0.0000 0.7857
Sc: 0.0300 0.7319 0.2981
Sc: 0.0423 0.3627 0.3204
Sc: 0.0423 0.7220 0.6796
Sc: 0.1127 0.2923 0.8204
Sc: 0.4338 0.7319 0.7019
Sc: 0.4720 0.2923 0.1796
Sc: 0.4819 0.2800 0.7981
Sc: 0.4819 0.6838 0.2019

Summary:
Its total magnetization is 0.00 μB/cell. As for the energy: -5.350 eV/atom. Its mass density is 4.4 g/cm3. As for the energy of formation from the pure elements: 1.38 eV per formula unit. Its volume is 351 Å³/cell.



7.
A plane-wave DFT calculation with PBE-GGA was carried out for a relaxed structure of NdSc6Se8.

a b c (Å): 7.7757 7.7757 7.7757
angles (deg): 60.00 60.00 60.00
Positions (direct):
Nd: 0.0000 0.0000 0.0000
Sc: 0.0000 0.0000 0.5000
Sc: 0.0000 0.5000 0.0000
Sc: 0.0000 0.5000 0.5000
Sc: 0.5000 0.0000 0.0000
Sc: 0.5000 0.0000 0.5000
Sc: 0.5000 0.5000 0.0000
Se: 0.2500 0.2500 0.2500
Se: 0.2660 0.2660 0.7340
Se: 0.2660 0.7340 0.2660
Se: 0.2660 0.7340 0.7340
Se: 0.7340 0.2660 0.2660
Se: 0.7340 0.2660 0.7340
Se: 0.7340 0.7340 0.2660
Se: 0.7500 0.7500 0.7500

Summary:
Its total magnetization is 0.00 μB/cell. As for the energy: -6.376 eV/atom. The uncorrected formation energy comes out at -1.667 eV per atom. Its mass density is 5.2 g/cm3. Its volume is 332 Å³/cell.



8.
A plane-wave DFT calculation with PBE-GGA was carried out for a relaxed structure of Nd4ScSe5.

a b c (Å): 15.0709 15.0709 15.0709
angles (deg): 164.10 164.10 22.56
Positions (direct):
Nd: 0.1010 0.1010 0.0000
Nd: 0.3065 0.3065 0.0000
Nd: 0.6935 0.6935 0.0000
Nd: 0.8990 0.8990 0.0000
Sc: 0.5000 0.5000 0.0000
Se: 0.0000 0.0000 0.0000
Se: 0.2030 0.2030 0.0000
Se: 0.4077 0.4077 0.0000
Se: 0.5923 0.5923 0.0000
Se: 0.7970 0.7970 0.0000

Summary:
Its total magnetization is 0.00 μB/cell. As for the energy: -6.037 eV/atom. The uncorrected formation energy comes out at -1.755 eV per atom. Its mass density is 6.6 g/cm3. Its volume is 257 Å³/cell.